VASP calculation (PBEsol) on an optimized crystal structure of LiTiTeN2.

Cell lengths 3.811, 3.811, 4.582 Å; angles 90.00, 90.00, 90.00 degrees
Fractional positions:
Li  0.000  0.000  0.000
Ti  0.500  0.500  0.500
Te  0.000  0.000  0.500
N  0.000  0.500  0.000
N  0.500  0.000  0.000

As for the uncorrected energy: -0.3651 Ry/atom. As for the spin magnetization: 0.00 Bohr magnetons per cell.

VASP calculation (PBEsol) on an optimized crystal structure of LiTlTe2N.

Cell lengths 5.943, 5.943, 4.153 Å; angles 90.00, 90.00, 90.00 degrees
Fractional positions:
Li  0.000  0.000  0.000
Tl  0.500  0.500  0.500
Te  0.000  0.500  0.500
Te  0.500  0.000  0.500
N  0.500  0.500  0.000

The distance to the lowest polymorph of the same formula comes out at 174 meV/atom. As for the spin magnetization: 2.26 Bohr magnetons per cell.

VASP calculation (PBEsol) on an optimized crystal structure of LiTlTe2N.

Cell lengths 5.497, 5.497, 3.545 Å; angles 90.00, 90.00, 90.00 degrees
Fractional positions:
Li  0.000  0.000  0.000
Tl  0.500  0.500  0.500
Te  0.000  0.500  0.000
Te  0.500  0.000  0.000
N  0.000  0.000  0.500

The distance to the lowest polymorph of the same formula comes out at 0 meV/atom. As for the spin magnetization: 0.72 Bohr magnetons per cell.

What did the third record say?
VASP calculation (PBEsol) on an optimized crystal structure of LiTlTe2N.

Cell lengths 5.497, 5.497, 3.545 Å; angles 90.00, 90.00, 90.00 degrees
Fractional positions:
Li  0.000  0.000  0.000
Tl  0.500  0.500  0.500
Te  0.000  0.500  0.000
Te  0.500  0.000  0.000
N  0.000  0.000  0.500

The distance to the lowest polymorph of the same formula comes out at 0 meV/atom. As for the spin magnetization: 0.72 Bohr magnetons per cell.